1.
VASP calculation (PBE with a Hubbard U) on crystalline Li4Fe2Ni3Te3O16 at its relaxed geometry.

POSCAR file:
```
Li4Fe2Ni3Te3O16
1.0
6.075 -0.012 -0.031
-2.952 -5.395 0.097
-0.100 0.176 -9.746
O Te Li Fe Ni
16 3 4 2 3
direct
0.981 0.981 0.678 O
0.804 0.142 0.912 O
0.517 0.019 0.163 O
0.513 0.972 0.667 O
0.845 0.711 0.897 O
0.512 0.532 0.671 O
0.367 0.697 0.899 O
0.661 0.856 0.399 O
0.153 0.831 0.397 O
0.340 0.179 0.907 O
0.131 0.319 0.400 O
0.067 0.544 0.650 O
0.669 0.326 0.394 O
0.973 0.989 0.194 O
0.509 0.456 0.154 O
0.942 0.434 0.155 O
0.815 0.159 0.286 Te
0.189 0.364 0.784 Te
0.680 0.850 0.789 Te
0.032 0.015 0.013 Li
0.701 0.343 0.599 Li
0.992 0.980 0.492 Li
0.338 0.649 0.117 Li
0.308 0.685 0.490 Fe
0.634 0.305 0.031 Fe
0.817 0.650 0.282 Ni
0.184 0.852 0.785 Ni
0.326 0.162 0.286 Ni
```

## Properties
- M_tot (Bohr magnetons per cell) = 9.990
- E_tot (eV per atom) = -5.36
- ρ (Mg/m³) = 5.0
- SG = No. 1

---

2.
VASP calculation (PBE with a Hubbard U) on crystalline Li4Ti3Fe2Ni3O16 at its relaxed geometry.

POSCAR file:
```
Li4Ti3Fe2Ni3O16
1.0
2.961 5.033 -0.126
-2.961 5.033 -0.126
0.000 0.272 9.607
Fe Ti O Ni Li
2 3 16 3 4
direct
0.338 0.338 0.010 Fe
0.666 0.666 0.506 Fe
0.340 0.833 0.783 Ti
0.174 0.174 0.280 Ti
0.833 0.340 0.783 Ti
0.327 0.836 0.401 O
0.166 0.166 0.896 O
0.836 0.327 0.401 O
0.174 0.675 0.902 O
0.675 0.174 0.902 O
0.516 0.516 0.668 O
0.001 0.001 0.193 O
0.833 0.833 0.395 O
0.672 0.672 0.893 O
0.329 0.329 0.399 O
0.961 0.511 0.660 O
0.038 0.478 0.160 O
0.993 0.993 0.691 O
0.511 0.961 0.660 O
0.481 0.481 0.164 O
0.478 0.038 0.160 O
0.831 0.831 0.789 Ni
0.171 0.663 0.290 Ni
0.663 0.171 0.290 Ni
0.333 0.333 0.603 Li
0.994 0.994 0.503 Li
0.671 0.671 0.106 Li
0.995 0.995 0.007 Li
```

## Properties
- M_tot (Bohr magnetons per cell) = 3.402
- N(E_F) (states/eV/cell) = 13.2
- E_tot (eV per atom) = -6.45
- ρ (Mg/m³) = 4.1
- SG = No. 8

---

3.
VASP calculation (PBE with a Hubbard U) on crystalline Li4Ti3Fe3Ni2O16 at its relaxed geometry.

POSCAR file:
```
Li4Ti3Fe3Ni2O16
1.0
-4.595 -3.316 1.564
-1.496 -0.475 5.665
-5.862 7.593 -0.830
Fe O Ti Ni Li
3 16 3 2 4
direct
0.170 0.663 0.712 Fe
0.829 0.829 0.218 Fe
0.663 0.170 0.712 Fe
0.002 0.002 0.315 O
0.841 0.841 0.607 O
0.169 0.677 0.104 O
0.836 0.322 0.605 O
0.517 0.517 0.336 O
0.677 0.169 0.104 O
0.163 0.163 0.106 O
0.664 0.664 0.103 O
0.484 0.484 0.825 O
0.037 0.490 0.827 O
0.513 0.959 0.346 O
0.322 0.836 0.605 O
0.959 0.513 0.346 O
0.490 0.037 0.827 O
0.338 0.338 0.607 O
0.998 0.998 0.809 O
0.332 0.826 0.211 Ti
0.172 0.172 0.717 Ti
0.826 0.332 0.211 Ti
0.665 0.665 0.484 Ni
0.338 0.338 0.987 Ni
0.334 0.334 0.397 Li
0.669 0.669 0.891 Li
0.999 0.999 0.498 Li
0.995 0.995 0.996 Li
```

## Properties
- M_tot (Bohr magnetons per cell) = 9.946
- E_tot (eV per atom) = -6.59
- ρ (Mg/m³) = 4.1
- SG = No. 8

---

4.
VASP calculation (PBE with a Hubbard U) on crystalline Li4V2Fe3Ni3O16 at its relaxed geometry.

POSCAR file:
```
Li4V2Fe3Ni3O16
1.0
2.742 -4.968 -1.453
2.945 -3.007 4.074
-7.639 -5.216 2.132
O Fe Ni V Li
16 3 3 2 4
direct
0.341 0.341 0.611 O
0.667 0.667 0.105 O
0.487 0.044 0.842 O
0.339 0.821 0.594 O
0.484 0.484 0.855 O
0.650 0.176 0.089 O
0.170 0.170 0.087 O
0.508 0.955 0.355 O
0.990 0.990 0.799 O
0.514 0.514 0.340 O
0.998 0.998 0.303 O
0.044 0.487 0.842 O
0.176 0.650 0.089 O
0.820 0.820 0.584 O
0.821 0.339 0.594 O
0.955 0.508 0.355 O
0.171 0.171 0.719 Fe
0.343 0.832 0.215 Fe
0.832 0.343 0.215 Fe
0.657 0.175 0.713 Ni
0.175 0.657 0.713 Ni
0.828 0.828 0.215 Ni
0.673 0.673 0.492 V
0.351 0.351 0.991 V
0.675 0.675 0.899 Li
0.997 0.997 0.990 Li
0.001 0.001 0.494 Li
0.332 0.332 0.404 Li
```

## Properties
- M_tot (Bohr magnetons per cell) = 18.000
- N(E_F) (states/eV/cell) = 7.3
- E_tot (eV per atom) = -6.01
- ρ (Mg/m³) = 4.3
- SG = No. 8

---

5.
VASP calculation (PBE with a Hubbard U) on crystalline Li4V3Fe2Ni3O16 at its relaxed geometry.

POSCAR file:
```
Li4V3Fe2Ni3O16
1.0
5.896 0.017 0.006
-2.896 5.122 0.000
-0.362 -0.288 9.643
O V Li Fe Ni
16 3 4 2 3
direct
0.437 0.493 0.335 O
0.518 0.478 0.841 O
0.499 0.036 0.844 O
0.337 0.193 0.092 O
0.018 0.009 0.306 O
0.985 0.512 0.345 O
0.024 0.030 0.803 O
0.853 0.677 0.100 O
0.969 0.468 0.837 O
0.656 0.313 0.610 O
0.438 0.945 0.332 O
0.858 0.173 0.103 O
0.197 0.862 0.603 O
0.283 0.643 0.113 O
0.700 0.865 0.590 O
0.214 0.347 0.602 O
0.355 0.187 0.721 V
0.196 0.323 0.194 V
0.115 0.771 0.240 V
0.620 0.304 0.409 Li
0.019 0.018 0.498 Li
0.979 0.978 0.986 Li
0.331 0.664 0.890 Li
0.705 0.347 0.976 Fe
0.358 0.688 0.508 Fe
0.837 0.172 0.711 Ni
0.650 0.835 0.212 Ni
0.848 0.669 0.709 Ni
```

## Properties
- M_tot (Bohr magnetons per cell) = 15.000
- E_tot (eV per atom) = -6.20
- ρ (Mg/m³) = 4.1
- SG = No. 1